A geometry-optimized AlOsSe2 structure, computed with PBE.

Structure (POSCAR):
```
AlOsSe2
1.0
9.1697 -0.0125 -0.0073
8.6146 3.1421 -0.0073
8.6146 1.5160 2.7522
Os Al Se
1 1 2
direct
0.2473 0.2473 0.2473
0.5046 0.5046 0.5046
0.9736 0.9736 0.9736
0.7745 0.7745 0.7745
```

Properties
* energy: -22.38 eV/cell
* SG: No. 160